# FeTcW | Alexandria | GGA-PBE | optimized geometry
# Excess energy over the best structure of this formula in the dataset: 26 meV/atom
# Magnetization: 0.00 μB/cell
# DFT formation energy: 0.102 eV/atom
data_FeTcW
_cell_length_a 2.679
_cell_length_b 2.679
_cell_length_c 11.511
_cell_angle_alpha 90.00
_cell_angle_beta 90.00
_cell_angle_gamma 90.00
_space_group_name_H-M_alt 'P 1'
_space_group_IT_number 1
loop_
_space_group_symop_operation_xyz
'x,y,z'
loop_
_atom_site_label
_atom_site_fract_x
_atom_site_fract_y
_atom_site_fract_z
Fe1 0.000 0.000 0.000
Fe2 0.500 0.500 0.500
Tc1 0.000 0.000 0.643
Tc2 0.500 0.500 0.143
W1 0.000 0.000 0.334
W2 0.500 0.500 0.834